## Ba3Cd5Cl12 (PBE)

Data for crystalline Ba3Cd5Cl12 at its relaxed geometry.

Lattice parameters (Å, degrees): 17.688 17.688 17.688 90.00 90.00 90.00
Space group Ia-3d (No. 230)
Asymmetric unit:
Ba 0.000 0.250 0.125
Cd 0.000 0.000 0.000
Cd 0.000 0.250 0.375
Cl 0.030 0.071 0.670

As for the final energy: -61.6 eV/f.u.